A plane-wave DFT calculation with GGA-PBE was carried out for an optimized crystal structure of TlCr2Si.

The formation energy without anion corrections comes out at 584 meV per atom.

The structure belongs to space group P4/mmm (No. 123); the cell edges are 4.208, 4.208 and 3.706 Å and the angles 90.00°, 90.00° and 90.00°. The inequivalent atoms are Tl at (0.000, 0.000, 0.000), Cr at (0.000, 0.500, 0.500) and Si at (0.500, 0.500, 0.000).



A plane-wave DFT calculation with GGA-PBE was carried out for an optimized crystal structure of PmHo2Tm2Sc2.

The calculation puts the formation energy from the elements at 0.0740 eV/atom.

The structure belongs to space group C2/m (No. 12); the cell edges are 23.017, 3.401 and 5.392 Å and the angles 90.00°, 103.53° and 90.00°. The inequivalent atoms are Pm at (0.000, 0.000, 0.000), Ho at (0.073, 0.500, 0.572), Tm at (0.208, 0.000, 0.707) and Sc at (0.146, 0.500, 0.145).



A plane-wave DFT calculation with GGA-PBE was carried out for an optimized crystal structure of Sc2GaCu2.

The calculation puts the formation energy from the elements at -0.1724 eV/atom.

The structure belongs to space group I4/mmm (No. 139); the cell edges are 3.318, 3.318 and 16.489 Å and the angles 90.00°, 90.00° and 90.00°. The inequivalent atoms are Sc at (0.000, 0.000, 0.108), Ga at (0.000, 0.000, 0.500) and Cu at (0.000, 0.500, 0.250).



A plane-wave DFT calculation with GGA-PBE was carried out for an optimized crystal structure of KNb2Fe.

Its relative energy among the computed polymorphs is 186 meV per atom. The calculation puts the formation energy from the elements at 1.5549 eV/atom.

The structure belongs to space group I4_1/amd (No. 141, origin choice 2); the cell edges are 5.423, 5.423 and 15.469 Å and the angles 90.00°, 90.00° and 90.00°. The inequivalent atoms are K at (0.000, 0.250, 0.375), Nb at (0.000, 0.000, 0.000) and Fe at (0.000, 0.250, 0.875).



A plane-wave DFT calculation with GGA-PBE was carried out for an optimized crystal structure of CeMnSi2W.

The formation energy without anion corrections comes out at -421 meV per atom.

The structure belongs to space group I-4m2 (No. 119); the cell edges are 3.977, 3.977 and 10.954 Å and the angles 90.00°, 90.00° and 90.00°. The inequivalent atoms are Ce at (0.000, 0.000, 0.000), Mn at (0.000, 0.500, 0.250), Si at (0.000, 0.000, 0.388) and W at (0.000, 0.500, 0.750).



A plane-wave DFT calculation with GGA-PBE was carried out for an optimized crystal structure of Na2PuCl4.

The formation energy without anion corrections comes out at -1747 meV per atom. Its relative energy among the computed polymorphs is 0 meV per atom.

The structure belongs to space group P4_122 (No. 91); the cell edges are 8.425, 8.425 and 11.547 Å and the angles 90.00°, 90.00° and 90.00°. The inequivalent atoms are Na at (0.000, 0.241, 0.000), Na at (0.241, 0.241, 0.375), Pu at (0.256, 0.500, 0.750), Cl at (0.025, 0.254, 0.755) and Cl at (0.249, 0.485, 0.997).



A plane-wave DFT calculation with GGA-PBE was carried out for an optimized crystal structure of Ti2AgSb.

The formation energy without anion corrections comes out at 125 meV per atom.

The structure belongs to space group I-42d (No. 122); the cell edges are 7.457, 7.457 and 5.719 Å and the angles 90.00°, 90.00° and 90.00°. The inequivalent atoms are Ti at (0.245, 0.250, 0.125), Ag at (0.000, 0.000, 0.000) and Sb at (0.000, 0.000, 0.500).



A plane-wave DFT calculation with GGA-PBE was carried out for an optimized crystal structure of Cd3IF.

The formation energy without anion corrections comes out at 130 meV per atom. Its relative energy among the computed polymorphs is 458 meV per atom.

The structure belongs to space group Pm-3m (No. 221); the cell edges are 6.147, 6.147 and 6.147 Å and the angles 90.00°, 90.00° and 90.00°. The inequivalent atoms are Cd at (0.000, 0.000, 0.500), I at (0.000, 0.000, 0.000) and F at (0.500, 0.500, 0.500).



| no. | spin magnetization (Bohr magnetons per cell) |
| --- | --- |
| 1 | 6.0 |
| 2 | 0.0 |
| 3 | 0.0 |
| 4 | 0.0 |
| 5 | 5.3 |
| 6 | 24.0 |
| 7 | 0.0 |
| 8 | 0.0 |